DFT (GGA-PBE) results for crystalline Zn2TcBr at its relaxed geometry.

Properties
Size of the total moment, μB/f.u.: 1.3
Energy relative to the elements, uncorrected, eV/atom: 0.630
Crystal system: tetragonal
Distance to the lowest polymorph of the same formula, eV/atom: 0.422

Structure (extended XYZ):
```
4
Lattice="-3.6376 3.8065 0.5412 -5.1159 -1.3450 -0.1815 4.3808 -1.6075 2.4978" Properties=species:S:1:pos:R:3 pbc="T T T"
Tc -1.8168 1.7149 1.6094
Zn -4.3768 1.2307 0.1798
Zn 0.0000 0.0000 0.0000
Br -2.5559 -0.8609 1.2481
```


DFT (GGA-PBE) results for crystalline Zn2TcBr at its relaxed geometry.

Properties
Size of the total moment, μB/f.u.: 1.9
Energy relative to the elements, uncorrected, eV/atom: 0.864
Crystal system: cubic
Distance to the lowest polymorph of the same formula, eV/atom: 0.656

Structure (extended XYZ):
```
4
Lattice="-0.2795 -1.3418 4.4722 1.6298 -4.1901 1.2908 3.8780 -0.3022 2.5978" Properties=species:S:1:pos:R:3 pbc="T T T"
Zn 1.3071 -1.4585 2.0902
Zn 3.9212 -4.3755 6.2706
Br 0.0000 0.0000 0.0000
Tc 2.6142 -2.9170 4.1804
```